The following is a DFT calculation (PBE) of a relaxed structure of GePd.

POSCAR file:
```
GePd
1.0
3.8555 0.0000 0.0000
-1.9278 3.3390 0.0000
0.0000 0.0000 6.8950
Pd Ge
2 2
Cartesian
0.0000 2.2260 4.9637
1.9278 1.1130 1.5162
0.0000 2.2260 2.4967
1.9278 1.1130 5.9442
```

Output
Fermi-level density of states   1.8 states/eV per cell
Calculated total energy   -4.931 eV per atom

---

The following is a DFT calculation (PBE) of a relaxed structure of Cu2RuCl.

POSCAR file:
```
Cu2RuCl
1.0
2.8685 0.0000 0.0000
0.0000 2.8891 0.0016
0.0000 -0.0069 7.2903
Ru Cl Cu
1 1 2
Cartesian
1.4342 0.7205 1.8230
1.4342 2.1616 5.4690
0.0000 2.1657 0.1356
0.0000 2.1645 3.5120
```

Output
Uncorrected formation energy   324 meV per atom
Fermi-level density of states   3.5 states/eV per cell
Distance to the lowest polymorph of the same formula   0.008 eV per atom
Calculated total energy   -4.505 eV per atom

---

The following is a DFT calculation (PBE) of a relaxed structure of PaCdIn2.

POSCAR file:
```
PaCdIn2
1.0
5.2117 0.0000 0.0000
2.6058 4.5134 0.0000
2.6058 1.5045 4.2553
Cd Pa In
1 1 2
Cartesian
5.2117 3.0090 2.1277
0.0000 0.0000 0.0000
7.8175 4.5134 3.1915
2.6058 1.5045 1.0638
```

Output
Fermi-level density of states   4.0 states/eV per cell
Distance to the lowest polymorph of the same formula   0.184 eV per atom
Calculated total energy   -3.837 eV per atom

---

The following is a DFT calculation (PBE) of a relaxed structure of Tb2PrCdAu4.

POSCAR file:
```
Tb2PrCdAu4
1.0
5.0637 0.0000 0.0000
2.5318 4.3853 0.0000
2.5318 1.4618 8.4369
Cd Tb Au Pr
1 2 4 1
Cartesian
5.0637 2.9235 4.2185
2.5318 1.4618 2.3579
7.5955 4.3853 6.0790
2.5318 1.4618 5.3795
5.0637 2.9235 1.1431
7.5955 4.3853 3.0575
5.0637 2.9235 7.2938
0.0000 0.0000 0.0000
```

Output
Fermi-level density of states   4.9 states/eV per cell
Calculated total energy   -4.229 eV per atom

---

The following is a DFT calculation (PBE) of a relaxed structure of Ca2TbDy.

POSCAR file:
```
Ca2TbDy
1.0
4.1334 0.0000 0.0000
0.0000 4.1334 0.0000
0.0000 0.0000 8.2787
Ca Tb Dy
2 1 1
Cartesian
0.0000 0.0000 2.0767
0.0000 0.0000 6.2020
2.0667 2.0667 0.0000
2.0667 2.0667 4.1394
```

Output
Fermi-level density of states   6.6 states/eV per cell
Distance to the lowest polymorph of the same formula   0.006 eV per atom
Calculated total energy   -3.124 eV per atom

---

The following is a DFT calculation (PBE) of a relaxed structure of Os2RuBr.

POSCAR file:
```
Os2RuBr
1.0
2.8174 0.0000 0.0000
0.0000 4.6485 0.0000
0.0000 0.0000 4.7213
Os Ru Br
2 1 1
Cartesian
1.4087 2.3242 0.0000
0.0000 0.0000 0.0000
1.4087 0.0000 2.3607
0.0000 2.3242 2.3607
```

Output
Uncorrected formation energy   1218 meV per atom
Fermi-level density of states   5.4 states/eV per cell
Distance to the lowest polymorph of the same formula   0.494 eV per atom
Calculated total energy   -7.134 eV per atom

---

> Which formula does entry 4 have?

Tb2PrCdAu4

---

> Which of these has the highest Fermi-level density of states?

Ca2TbDy

---

> Which formula does entry 2 have?

Cu2RuCl